1.
VASP calculation (PBE) on a relaxed structure of NaNiSnPt.

Cell lengths 4.5475, 4.5475, 4.5475 Å; angles 60.00, 60.00, 60.00 degrees
With the nearest neighbours (Å) after each atom.
Positions (direct):
Sn 0.5000 0.5000 0.5000  4 Ni 2.78, 4 Pt 2.78
Ni 0.2500 0.2500 0.2500  4 Na 2.78, 4 Sn 2.78
Pt 0.7500 0.7500 0.7500  4 Sn 2.78, 4 Na 2.78
Na 0.0000 0.0000 0.0000  4 Pt 2.78, 4 Ni 2.78

* V: 66.5 Å³/f.u.
* calculated formation energy: -135 meV per atom
* space-group type: F-43m, No. 216
* crystal system: cubic

2.
VASP calculation (PBE) on a relaxed structure of Na2NiSn4Pt3.

Cell lengths 4.6711, 4.6711, 10.4215 Å; angles 90.00, 90.00, 90.00 degrees
With the nearest neighbours (Å) after each atom.
Positions (direct):
Sn 0.0000 0.0000 0.0000  4 Pt 2.70
Pt 0.0000 0.5000 0.1305  5 Sn 2.64-2.70
Pt 0.5000 0.0000 0.8695  5 Sn 2.64-2.70
Sn 0.5000 0.0000 0.6158  3 Pt 2.63-2.64, 2 Ni 2.63
Sn 0.5000 0.5000 0.0000  4 Pt 2.70
Ni 0.5000 0.5000 0.5000  4 Sn 2.63
Na 0.5000 0.0000 0.2685  2 Ni 3.36, 6 Pt 3.36-3.60, 9 Sn 3.52-3.64
Na 0.0000 0.5000 0.7315  2 Ni 3.36, 6 Pt 3.36-3.60, 9 Sn 3.52-3.64
Sn 0.0000 0.5000 0.3842  3 Pt 2.63-2.64, 2 Ni 2.63
Pt 0.0000 0.0000 0.5000  4 Sn 2.63

* V: 227.4 Å³/f.u.
* calculated formation energy: -375 meV per atom
* space-group type: P-4m2, No. 115
* crystal system: tetragonal

3.
VASP calculation (PBE) on a relaxed structure of NaNiPtW2.

Cell lengths 4.4906, 4.4416, 4.4906 Å; angles 90.00, 90.00, 90.00 degrees
With the nearest neighbours (Å) after each atom.
Positions (direct):
W 0.0000 0.0000 0.5000  2 Ni 2.25
Pt 0.5000 0.5000 0.5000  8 W 3.16, 4 Na 3.18
Na 0.0000 0.5000 0.0000  2 Ni 2.22
W 0.5000 0.0000 0.0000  2 Ni 2.25
Ni 0.0000 0.0000 0.0000  2 Na 2.22, 4 W 2.25

* V: 89.6 Å³/f.u.
* calculated formation energy: 1430 meV per atom
* space-group type: P4/mmm, No. 123
* crystal system: tetragonal

4.
VASP calculation (PBE) on a relaxed structure of NaYNi2Pt.

Cell lengths 4.3294, 5.0193, 4.3294 Å; angles 90.00, 90.00, 90.00 degrees
With the nearest neighbours (Å) after each atom.
Positions (direct):
Na 0.0000 0.0000 0.0000  4 Ni 2.16
Pt 0.5000 0.5000 0.5000  4 Y 3.06, 8 Ni 3.31
Y 0.0000 0.5000 0.0000  2 Na 2.51
Ni 0.0000 0.0000 0.5000  2 Na 2.16
Ni 0.5000 0.0000 0.0000  2 Na 2.16

* V: 94.1 Å³/f.u.
* calculated formation energy: 1022 meV per atom
* space-group type: P4/mmm, No. 123
* crystal system: tetragonal